LuZnCdCu | PBE | optimized geometry

Results
The symmetry is No. 216. The formation energy is -0.2460 eV/atom. Its total energy is -11.8 eV/cell.

Cell lengths 4.6899, 4.6899, 4.6899 Å; angles 60.00, 60.00, 60.00 degrees
Closest atoms and distances in Å follow each position.
Fractional positions:
Cd: 0.7500 0.7500 0.7500  4 Cu 2.87, 4 Zn 2.87
Lu: 0.2500 0.2500 0.2500  4 Cu 2.87, 4 Zn 2.87
Zn: 0.5000 0.5000 0.5000  4 Lu 2.87, 4 Cd 2.87
Cu: 0.0000 0.0000 0.0000  4 Cd 2.87, 4 Lu 2.87